(1)
# PBE CsK2AgGe, relaxed
data_CsK2AgGe
_chemical_formula_sum 'Cs1 K2 Ag1 Ge1'
_space_group_name_H-M_alt 'P 4/m m m'
_space_group_IT_number 123
_space_group_name_Hall '-P 4 2'
_cell_length_a 6.636
_cell_length_b 6.636
_cell_length_c 5.077
_cell_angle_alpha 90.00
_cell_angle_beta 90.00
_cell_angle_gamma 90.00
loop_
_atom_site_label
_atom_site_type_symbol
_atom_site_fract_x
_atom_site_fract_y
_atom_site_fract_z
_atom_site_occupancy
Cs1 Cs 0.000 0.000 0.000 1
K1 K 0.000 0.500 0.500 1
Ag1 Ag 0.500 0.500 0.000 1
Ge1 Ge 0.500 0.500 0.500 1
# - Fermi-level density of states (states/eV per atom) = 0.56
# - crystal system = tetragonal

=====

(2)
# PBE Tl5SnHg2Pb, relaxed
data_Tl5SnHg2Pb
_chemical_formula_sum 'Tl20 Sn4 Hg8 Pb4'
_space_group_name_H-M_alt 'I 4/m c m'
_space_group_IT_number 140
_space_group_name_Hall '-I 4 2c'
_cell_length_a 7.630
_cell_length_b 7.630
_cell_length_c 19.510
_cell_angle_alpha 90.00
_cell_angle_beta 90.00
_cell_angle_gamma 90.00
loop_
_atom_site_label
_atom_site_type_symbol
_atom_site_fract_x
_atom_site_fract_y
_atom_site_fract_z
_atom_site_occupancy
Tl1 Tl 0.000 0.000 0.000 1
Tl2 Tl 0.229 0.271 0.142 1
Sn1 Sn 0.000 0.500 0.250 1
Hg1 Hg 0.130 0.370 0.500 1
Pb1 Pb 0.000 0.000 0.250 1
# - Fermi-level density of states (states/eV per atom) = 0.33
# - crystal system = tetragonal

=====

(3)
# PBE CeEr2, relaxed
data_CeEr2
_chemical_formula_sum 'Ce2 Er4'
_space_group_name_H-M_alt 'P 63/m m c'
_space_group_IT_number 194
_space_group_name_Hall '-P 6c 2c'
_cell_length_a 3.4114
_cell_length_b 3.4114
_cell_length_c 18.0192
_cell_angle_alpha 90.00
_cell_angle_beta 90.00
_cell_angle_gamma 120.00
loop_
_atom_site_label
_atom_site_type_symbol
_atom_site_fract_x
_atom_site_fract_y
_atom_site_fract_z
_atom_site_occupancy
Ce1 Ce 0.3333 0.6667 0.2500 1
Er1 Er 0.0000 0.0000 0.0913 1
# - distance to the lowest polymorph of the same formula (eV per atom) = 0.099
# - Fermi-level density of states (states/eV per atom) = 2.34
# - crystal system = hexagonal

=====

no.,electronic total energy (eV per atom),energy of formation (eV per atom)
1,-2.022,0.081
2,-2.185,0.054
3,-4.848,0.171